# 1
# Sr2AlZn

A relaxed Sr2AlZn crystal (GGA-PBE, Alexandria).

Unit cell a=4.6938 b=6.3819 c=9.3341 alpha=111.20 beta=90.00 gamma=90.00
Last column: nearest neighbours and their distance in Å.
Element x y z (fractional)
1 Sr 0.7500 0.2138 0.4314  4 Zn 3.28-3.66, 3 Al 3.36-3.47
2 Sr 0.2500 0.7862 0.5686  4 Zn 3.28-3.66, 3 Al 3.36-3.47
3 Sr 0.2500 0.7904 0.0753  3 Zn 3.31-3.48, 4 Al 3.36-3.50
4 Sr 0.7500 0.2096 0.9247  3 Zn 3.31-3.48, 4 Al 3.36-3.50
5 Al 0.2500 0.3784 0.2191  2 Zn 2.69
6 Al 0.7500 0.6216 0.7809  2 Zn 2.69
7 Zn 0.7500 0.5982 0.2744  2 Al 2.69
8 Zn 0.2500 0.4018 0.7256  2 Al 2.69

---

# 2
# Sr2AlZn7

A relaxed Sr2AlZn7 crystal (GGA-PBE, Alexandria).

Unit cell a=4.3538 b=4.3538 c=10.9453 alpha=90.00 beta=90.00 gamma=90.00
Last column: nearest neighbours and their distance in Å.
Element x y z (fractional)
1 Sr 0.5000 0.0000 0.7489  14 Zn 3.34-3.51, 2 Al 3.51
2 Sr 0.0000 0.5000 0.2511  14 Zn 3.34-3.51, 2 Al 3.51
3 Al 0.5000 0.5000 0.0000  4 Zn 2.62
4 Zn 0.0000 0.5000 0.8676  3 Zn 2.59-2.62, 2 Al 2.62
5 Zn 0.5000 0.0000 0.3688  5 Zn 2.59-2.61
6 Zn 0.5000 0.0000 0.1324  3 Zn 2.59-2.62, 2 Al 2.62
7 Zn 0.0000 0.5000 0.6312  5 Zn 2.59-2.61
8 Zn 0.0000 0.0000 0.5000  4 Zn 2.61
9 Zn 0.0000 0.0000 0.0000  4 Zn 2.62
10 Zn 0.5000 0.5000 0.5000  4 Zn 2.61

---

# 3
# SrAl4Zn2

A relaxed SrAl4Zn2 crystal (GGA-PBE, Alexandria).

Unit cell a=4.2486 b=4.2541 c=7.9539 alpha=105.51 beta=90.00 gamma=90.00
Last column: nearest neighbours and their distance in Å.
Element x y z (fractional)
1 Sr 0.0000 0.0000 0.0000  8 Zn 3.28, 8 Al 3.59-3.61
2 Zn 0.5000 0.5849 0.1697  1 Zn 2.60, 4 Al 2.65-2.67
3 Zn 0.5000 0.4151 0.8303  1 Zn 2.60, 4 Al 2.65-2.67
4 Al 0.5000 0.8115 0.6230  2 Zn 2.65, 4 Al 2.82-2.84
5 Al 0.0000 0.6905 0.3809  2 Zn 2.67, 4 Al 2.80-2.82
6 Al 0.5000 0.1885 0.3770  2 Zn 2.65, 4 Al 2.82-2.84
7 Al 0.0000 0.3095 0.6191  2 Zn 2.67, 4 Al 2.80-2.82

---

# 4
# Sr2AlZn2

A relaxed Sr2AlZn2 crystal (GGA-PBE, Alexandria).

Unit cell a=7.5505 b=7.5505 c=4.8126 alpha=90.00 beta=90.00 gamma=90.00
Last column: nearest neighbours and their distance in Å.
Element x y z (fractional)
1 Sr 0.1865 0.6865 0.5000  6 Zn 3.18-3.37
2 Sr 0.6865 0.8135 0.5000  6 Zn 3.18-3.37
3 Sr 0.8135 0.3135 0.5000  6 Zn 3.18-3.37
4 Sr 0.3135 0.1865 0.5000  6 Zn 3.18-3.37
5 Zn 0.3809 0.8809 0.0000  1 Zn 2.54
6 Zn 0.8809 0.6191 0.0000  1 Zn 2.54
7 Zn 0.6191 0.1191 0.0000  1 Zn 2.54
8 Zn 0.1191 0.3809 0.0000  1 Zn 2.54
9 Al 0.0000 0.0000 0.0000  4 Zn 3.01
10 Al 0.5000 0.5000 0.0000  4 Zn 3.01

---

# 5
# Sr3Al3Zn

A relaxed Sr3Al3Zn crystal (GGA-PBE, Alexandria).

Unit cell a=4.3159 b=6.5460 c=15.6763 alpha=82.66 beta=82.09 gamma=70.75
Last column: nearest neighbours and their distance in Å.
Element x y z (fractional)
1 Sr 0.5029 0.3799 0.6143  3 Zn 3.34-3.64, 5 Al 3.43-3.59, 1 Sr 3.72
2 Sr 0.4971 0.6201 0.3857  3 Zn 3.34-3.64, 5 Al 3.43-3.59, 1 Sr 3.72
3 Sr 0.2609 0.2462 0.2321  2 Zn 3.29, 6 Al 3.36-3.61
4 Sr 0.7391 0.7538 0.7679  2 Zn 3.29, 6 Al 3.36-3.61
5 Sr 0.3792 0.3180 0.9236  7 Al 3.37-3.59
6 Sr 0.6208 0.6820 0.0764  7 Al 3.37-3.59
7 Al 0.8012 0.8620 0.5356  3 Zn 2.61-2.67, 2 Al 2.91
8 Al 0.1988 0.1380 0.4644  3 Zn 2.61-2.67, 2 Al 2.91
9 Al 0.0889 0.8985 0.9236  2 Al 2.77-2.78
10 Al 0.9111 0.1015 0.0764  2 Al 2.77-2.78
11 Al 0.9713 0.8294 0.2281  1 Zn 2.71, 1 Al 2.77
12 Al 0.0287 0.1706 0.7719  1 Zn 2.71, 1 Al 2.77
13 Zn 0.7957 0.0332 0.3755  4 Al 2.61-2.71
14 Zn 0.2043 0.9668 0.6245  4 Al 2.61-2.71

---

# 6
# Sr2AlZn2

A relaxed Sr2AlZn2 crystal (GGA-PBE, Alexandria).

Unit cell a=9.0584 b=9.0584 c=3.7439 alpha=90.00 beta=90.00 gamma=90.00
Last column: nearest neighbours and their distance in Å.
Element x y z (fractional)
1 Sr 0.3162 0.8162 0.0000  6 Zn 3.29-3.30, 2 Al 3.31
2 Sr 0.8162 0.6838 0.0000  6 Zn 3.29-3.30, 2 Al 3.31
3 Sr 0.6838 0.1838 0.0000  6 Zn 3.29-3.30, 2 Al 3.31
4 Sr 0.1838 0.3162 0.0000  6 Zn 3.29-3.30, 2 Al 3.31
5 Zn 0.1051 0.6051 0.5000  1 Zn 2.69
6 Zn 0.6051 0.8949 0.5000  1 Zn 2.69
7 Zn 0.8949 0.3949 0.5000  1 Zn 2.69
8 Zn 0.3949 0.1051 0.5000  1 Zn 2.69
9 Al 0.0000 0.0000 0.0000  4 Sr 3.31
10 Al 0.5000 0.5000 0.0000  4 Sr 3.31

---

# 7
# Sr3Al3Zn2

A relaxed Sr3Al3Zn2 crystal (GGA-PBE, Alexandria).

Unit cell a=4.2829 b=6.3434 c=16.9804 alpha=90.00 beta=90.00 gamma=109.73
Last column: nearest neighbours and their distance in Å.
Element x y z (fractional)
1 Sr 0.9608 0.9216 0.3940  3 Zn 3.28-3.49, 7 Al 3.41-3.65
2 Sr 0.0392 0.0784 0.8940  3 Zn 3.28-3.49, 7 Al 3.41-3.65
3 Sr 0.9608 0.9216 0.1060  3 Zn 3.28-3.49, 7 Al 3.41-3.65
4 Sr 0.0392 0.0784 0.6060  3 Zn 3.28-3.49, 7 Al 3.41-3.65
5 Sr 0.6635 0.3269 0.2500  3 Al 3.30-3.46, 4 Zn 3.31
6 Sr 0.3365 0.6731 0.7500  3 Al 3.30-3.46, 4 Zn 3.31
7 Al 0.6854 0.3707 0.4674  3 Zn 2.61-2.68, 2 Al 2.86
8 Al 0.3146 0.6293 0.9674  3 Zn 2.61-2.68, 2 Al 2.86
9 Al 0.6854 0.3707 0.0326  3 Zn 2.61-2.68, 2 Al 2.86
10 Al 0.3146 0.6293 0.5326  3 Zn 2.61-2.68, 2 Al 2.86
11 Al 0.3735 0.7469 0.2500  2 Zn 2.71
12 Al 0.6265 0.2531 0.7500  2 Zn 2.71
13 Zn 0.7473 0.4946 0.8849  4 Al 2.61-2.71
14 Zn 0.2527 0.5054 0.3849  4 Al 2.61-2.71
15 Zn 0.7473 0.4946 0.6151  4 Al 2.61-2.71
16 Zn 0.2527 0.5054 0.1151  4 Al 2.61-2.71

---

# 8
# Sr2Al7Zn

A relaxed Sr2Al7Zn crystal (GGA-PBE, Alexandria).

Unit cell a=4.4173 b=4.4173 c=11.3089 alpha=90.00 beta=90.00 gamma=90.00
Last column: nearest neighbours and their distance in Å.
Element x y z (fractional)
1 Sr 0.5000 0.0000 0.7526  14 Al 3.39-3.61, 2 Zn 3.56
2 Sr 0.0000 0.5000 0.2474  14 Al 3.39-3.61, 2 Zn 3.56
3 Al 0.0000 0.5000 0.8685  3 Al 2.62-2.66, 2 Zn 2.66
4 Al 0.5000 0.0000 0.3632  5 Al 2.62-2.70
5 Al 0.5000 0.0000 0.1315  3 Al 2.62-2.66, 2 Zn 2.66
6 Al 0.0000 0.5000 0.6368  5 Al 2.62-2.70
7 Al 0.0000 0.0000 0.5000  4 Al 2.70
8 Al 0.0000 0.0000 0.0000  4 Al 2.66
9 Al 0.5000 0.5000 0.5000  4 Al 2.70
10 Zn 0.5000 0.5000 0.0000  4 Al 2.66

---

# 9
# Sr2AlZn

A relaxed Sr2AlZn crystal (GGA-PBE, Alexandria).

Unit cell a=3.8922 b=5.6084 c=5.6084 alpha=90.00 beta=90.00 gamma=90.00
Last column: nearest neighbours and their distance in Å.
Element x y z (fractional)
1 Sr 0.0000 0.0000 0.5000  4 Al 3.41, 4 Zn 3.41
2 Sr 0.0000 0.5000 0.0000  4 Al 3.41, 4 Zn 3.41
3 Zn 0.5000 0.0000 0.0000  8 Sr 3.41
4 Al 0.5000 0.5000 0.5000  8 Sr 3.41

---

# 10
# Sr2Al3Zn5

A relaxed Sr2Al3Zn5 crystal (GGA-PBE, Alexandria).

Unit cell a=4.5045 b=4.5045 c=10.4929 alpha=90.00 beta=90.00 gamma=90.00
Last column: nearest neighbours and their distance in Å.
Element x y z (fractional)
1 Sr 0.5000 0.0000 0.2463  6 Al 3.41-3.49, 10 Zn 3.43-3.49
2 Sr 0.0000 0.5000 0.7537  6 Al 3.41-3.49, 10 Zn 3.43-3.49
3 Al 0.5000 0.0000 0.6378  3 Zn 2.55-2.68, 2 Al 2.68
4 Al 0.0000 0.5000 0.3622  3 Zn 2.55-2.68, 2 Al 2.68
5 Al 0.0000 0.0000 0.5000  4 Al 2.68
6 Zn 0.5000 0.5000 0.0000  4 Zn 2.57
7 Zn 0.0000 0.0000 0.0000  4 Zn 2.57
8 Zn 0.5000 0.0000 0.8812  1 Al 2.55, 4 Zn 2.57
9 Zn 0.0000 0.5000 0.1188  1 Al 2.55, 4 Zn 2.57
10 Zn 0.5000 0.5000 0.5000  4 Al 2.68

---

# 11
# Sr2AlZn

A relaxed Sr2AlZn crystal (GGA-PBE, Alexandria).

Unit cell a=4.5468 b=4.5466 c=8.4438 alpha=74.43 beta=74.38 gamma=60.00
Last column: nearest neighbours and their distance in Å.
Element x y z (fractional)
1 Sr 0.8909 0.6534 0.5648  3 Zn 3.37, 3 Al 3.38
2 Sr 0.7143 0.4773 0.0940  3 Al 3.37, 3 Zn 3.38-3.39
3 Al 0.1355 0.8985 0.8304  3 Zn 2.62-2.63
4 Zn 0.4695 0.2328 0.8282  3 Al 2.62-2.63

---

# 12
# Sr2Al2Zn15

A relaxed Sr2Al2Zn15 crystal (GGA-PBE, Alexandria).

Unit cell a=6.9513 b=6.9513 c=6.9513 alpha=82.95 beta=82.95 gamma=82.95
Last column: nearest neighbours and their distance in Å.
Element x y z (fractional)
1 Sr 0.3385 0.3385 0.3385  1 Al 3.23, 18 Zn 3.26-3.52
2 Sr 0.6615 0.6615 0.6615  1 Al 3.23, 18 Zn 3.26-3.52
3 Al 0.0981 0.0981 0.0981  1 Al 2.64, 6 Zn 2.81-2.92
4 Al 0.9019 0.9019 0.9019  1 Al 2.64, 6 Zn 2.81-2.92
5 Zn 0.5000 0.0000 0.0000  8 Zn 2.64-2.69, 2 Al 2.81
6 Zn 0.0000 0.0000 0.5000  8 Zn 2.64-2.69, 2 Al 2.81
7 Zn 0.0000 0.5000 0.0000  8 Zn 2.64-2.69, 2 Al 2.81
8 Zn 0.0000 0.7048 0.2952  8 Zn 2.64-2.81
9 Zn 0.7048 0.2952 0.0000  8 Zn 2.64-2.81
10 Zn 0.2952 0.0000 0.7048  8 Zn 2.64-2.81
11 Zn 0.2952 0.7048 0.0000  8 Zn 2.64-2.81
12 Zn 0.7048 0.0000 0.2952  8 Zn 2.64-2.81
13 Zn 0.0000 0.2952 0.7048  8 Zn 2.64-2.81
14 Zn 0.1622 0.6516 0.6516  8 Zn 2.62-2.81, 1 Al 2.92
15 Zn 0.6516 0.6516 0.1622  8 Zn 2.62-2.81, 1 Al 2.92
16 Zn 0.6516 0.1622 0.6516  8 Zn 2.62-2.81, 1 Al 2.92
17 Zn 0.8378 0.3484 0.3484  8 Zn 2.62-2.81, 1 Al 2.92
18 Zn 0.3484 0.3484 0.8378  8 Zn 2.62-2.81, 1 Al 2.92
19 Zn 0.3484 0.8378 0.3484  8 Zn 2.62-2.81, 1 Al 2.92

---

| no. | calculated total energy (eV/atom) | M_tot (μB/f.u.) |
| --- | --- | --- |
| 1 | -2.27 | 0.0 |
| 2 | -1.83 | 0.0 |
| 3 | -2.93 | 0.0 |
| 4 | -2.06 | 0.0 |
| 5 | -2.70 | 0.0 |
| 6 | -1.78 | 0.0 |
| 7 | -2.57 | 0.0 |
| 8 | -3.32 | 0.0 |
| 9 | -2.23 | 0.0 |
| 10 | -2.31 | 0.0 |
| 11 | -2.28 | 0.0 |
| 12 | -1.75 | 0.0 |